No. 1
Compound: LaCdBr2
Source: Alexandria via LeMat-Bulk
Functional: PBE-GGA
Structure: relaxed

Computed properties:
ΔE_f (raw)	-288.2	kJ/mol of formula units
space-group type	F-43m (216)
ΔE to the lowest computed polymorph	43.7	kJ per mole of atoms
D(E_F)	4.69	states/eV/f.u.
total energy	-12.2	eV/cell

abc: 5.483 5.483 5.483
angles: 60.00 60.00 60.00
Atoms (fractional coordinates):
La  0.750  0.750  0.750
Cd  0.500  0.500  0.500
Br  0.250  0.250  0.250
Br  0.000  0.000  0.000

***

No. 2
Compound: La2CdBr
Source: Alexandria via LeMat-Bulk
Functional: PBE-GGA
Structure: relaxed

Computed properties:
ΔE_f (raw)	-293.6	kJ/mol of formula units
space-group type	Pmm2 (25)
ΔE to the lowest computed polymorph	0.0	kJ per mole of atoms
D(E_F)	3.21	states/eV/f.u.
total energy	-15.5	eV/cell

abc: 6.379 4.114 4.833
angles: 90.00 90.00 90.00
Atoms (fractional coordinates):
Cd  0.500  0.875  0.874
La  0.000  0.875  0.876
La  0.500  0.375  0.374
Br  0.000  0.375  0.376

***

No. 3
Compound: LaCdBr2
Source: Alexandria via LeMat-Bulk
Functional: PBE-GGA
Structure: relaxed

Computed properties:
ΔE_f (raw)	-405.9	kJ/mol of formula units
space-group type	Amm2 (38)
ΔE to the lowest computed polymorph	14.3	kJ per mole of atoms
D(E_F)	2.48	states/eV/f.u.
total energy	-13.4	eV/cell

abc: 5.431 4.427 5.826
angles: 67.69 90.00 90.00
Last column: magnetic moment on the atom in μB.
Atoms (fractional coordinates):
Br  0.500  0.218  0.189  0.00
Cd  0.000  0.529  0.567  0.01
La  0.500  0.936  0.752  0.09
Br  0.000  0.817  0.992  0.00

***

No. 4
Compound: LaCdBr2
Source: Alexandria via LeMat-Bulk
Functional: PBE-GGA
Structure: relaxed

Computed properties:
ΔE_f (raw)	-403.2	kJ/mol of formula units
space-group type	I-42d (122)
ΔE to the lowest computed polymorph	14.9	kJ per mole of atoms
D(E_F)	2.30	states/eV/f.u.
total energy	-26.7	eV/cell

abc: 9.884 9.884 7.778
angles: 50.55 50.55 90.00
Atoms (fractional coordinates):
La  0.750  0.250  0.500
Br  0.375  0.266  0.750
Cd  0.500  0.500  0.000
Br  0.734  0.125  0.250
Br  0.016  0.625  0.250
Cd  0.250  0.750  0.500
Br  0.875  0.984  0.750
La  0.000  0.000  0.000

***

No. 5
Compound: La2Cd2Br
Source: Alexandria via LeMat-Bulk
Functional: PBE-GGA
Structure: relaxed

Computed properties:
ΔE_f (raw)	-199.5	kJ/mol of formula units
space-group type	P4/mbm (127)
ΔE to the lowest computed polymorph	16.8	kJ per mole of atoms
D(E_F)	2.52	states/eV/f.u.
total energy	-30.9	eV/cell

abc: 9.126 9.126 3.771
angles: 90.00 90.00 90.00
Atoms (fractional coordinates):
Cd  0.389  0.889  0.000
Cd  0.111  0.389  0.000
La  0.814  0.314  0.500
Br  0.500  0.500  0.000
Cd  0.889  0.611  0.000
Cd  0.611  0.111  0.000
Br  0.000  0.000  0.000
La  0.686  0.814  0.500
La  0.314  0.186  0.500
La  0.186  0.686  0.500

***

No. 6
Compound: LaCdBr2
Source: Alexandria via LeMat-Bulk
Functional: PBE-GGA
Structure: relaxed

Computed properties:
ΔE_f (raw)	-356.8	kJ/mol of formula units
space-group type	C2/m (12)
ΔE to the lowest computed polymorph	26.5	kJ per mole of atoms
D(E_F)	1.49	states/eV/f.u.
total energy	-12.9	eV/cell

abc: 6.211 6.211 3.859
angles: 71.88 71.88 107.36
Atoms (fractional coordinates):
Br  0.500  0.500  0.000
Br  0.000  0.000  0.000
La  0.000  0.500  0.500
Cd  0.500  0.000  0.500

***

No. 7
Compound: LaCdBr
Source: Alexandria via LeMat-Bulk
Functional: PBE-GGA
Structure: relaxed

Computed properties:
ΔE_f (raw)	-221.3	kJ/mol of formula units
space-group type	P3m1 (156)
ΔE to the lowest computed polymorph	21.4	kJ per mole of atoms
D(E_F)	2.56	states/eV/f.u.
total energy	-9.8	eV/cell

abc: 3.872 3.872 7.696
angles: 90.00 90.00 120.00
Atoms (fractional coordinates):
Br  0.000  0.000  0.960
Cd  0.667  0.333  0.358
La  0.333  0.667  0.682

***

No. 8
Compound: La2CdBr
Source: Alexandria via LeMat-Bulk
Functional: PBE-GGA
Structure: relaxed

Computed properties:
ΔE_f (raw)	-232.7	kJ/mol of formula units
space-group type	Imm2 (44)
ΔE to the lowest computed polymorph	15.2	kJ per mole of atoms
D(E_F)	4.26	states/eV/f.u.
total energy	-14.9	eV/cell

abc: 7.572 7.572 7.572
angles: 151.69 141.48 48.49
Atoms (fractional coordinates):
La  0.971  0.971  0.000
Cd  0.290  0.790  0.500
La  0.714  0.214  0.500
Br  0.525  0.525  0.000

***

No. 9
Compound: LaCdBr2
Source: Alexandria via LeMat-Bulk
Functional: PBE-GGA
Structure: relaxed

Computed properties:
ΔE_f (raw)	-365.6	kJ/mol of formula units
space-group type	Cmmm (65)
ΔE to the lowest computed polymorph	24.3	kJ per mole of atoms
D(E_F)	2.49	states/eV/f.u.
total energy	-13.0	eV/cell

abc: 5.316 5.316 3.968
angles: 90.00 90.00 97.44
Atoms (fractional coordinates):
Br  0.500  0.500  0.000
La  0.000  0.500  0.500
Br  0.000  0.000  0.000
Cd  0.500  0.000  0.500

***

No. 10
Compound: La2CdBr
Source: Alexandria via LeMat-Bulk
Functional: PBE-GGA
Structure: relaxed

Computed properties:
ΔE_f (raw)	-283.5	kJ/mol of formula units
space-group type	R3m (160)
ΔE to the lowest computed polymorph	2.5	kJ per mole of atoms
D(E_F)	3.89	states/eV/f.u.
total energy	-15.4	eV/cell

abc: 3.842 3.842 9.966
angles: 78.89 78.89 60.00
Atoms (fractional coordinates):
Cd  0.667  0.667  0.000
Br  0.500  0.500  0.499
La  0.085  0.085  0.745
La  0.248  0.248  0.256

***

No. 11
Compound: La2CdBr
Source: Alexandria via LeMat-Bulk
Functional: PBE-GGA
Structure: relaxed

Computed properties:
ΔE_f (raw)	-225.4	kJ/mol of formula units
space-group type	Fm-3m (225)
ΔE to the lowest computed polymorph	17.0	kJ per mole of atoms
D(E_F)	6.85	states/eV/f.u.
total energy	-14.8	eV/cell

abc: 5.527 5.527 5.527
angles: 60.00 60.00 60.00
Atoms (fractional coordinates):
La  0.750  0.750  0.750
Cd  0.500  0.500  0.500
La  0.250  0.250  0.250
Br  0.000  0.000  0.000

***

No. 12
Compound: La2CdBr
Source: Alexandria via LeMat-Bulk
Functional: PBE-GGA
Structure: relaxed

Computed properties:
ΔE_f (raw)	-282.4	kJ/mol of formula units
space-group type	P4/mmm (123)
ΔE to the lowest computed polymorph	2.8	kJ per mole of atoms
D(E_F)	3.95	states/eV/f.u.
total energy	-15.4	eV/cell

abc: 3.626 3.626 8.810
angles: 90.00 90.00 90.02
Atoms (fractional coordinates):
La  0.000  0.000  0.502
Br  0.500  0.500  0.250
Cd  0.500  0.500  0.750
La  0.000  0.000  0.998